Model w:
The following is a DFT calculation (PBE) of a relaxed structure of ZrTi2MoAu.

Theoretical density in g/cm³: 6.7

Cell: 4.778 4.778 5.186 Å, 90.00 90.00 90.00°
Space group P4/mmm (No. 123)
Unique sites:
Zr 0.000 0.000 0.000
Ti 0.000 0.500 0.500
Mo 0.500 0.500 0.000
Au 0.000 0.000 0.500

=====

Model x:
The following is a DFT calculation (PBE) of a relaxed structure of ZrTi2MoAu.

Theoretical density in g/cm³: 7.4

Cell: 4.766 4.766 4.733 Å, 90.00 90.00 90.00°
Space group P4/mmm (No. 123)
Unique sites:
Zr 0.000 0.000 0.000
Ti 0.000 0.500 0.000
Mo 0.000 0.000 0.500
Au 0.500 0.500 0.500

=====

We find model w to be the most stable, with the next structure 207 meV/atom higher.

=====

Model w:
The following is a DFT calculation (PBE) of a relaxed structure of TlMoAu2.

Theoretical density in g/cm³: 15.3

Cell: 5.841 8.977 2.883 Å, 90.00 90.00 90.00°
Space group Cmmm (No. 65)
Unique sites:
Tl 0.000 0.000 0.000
Mo 0.000 0.500 0.000
Au 0.250 0.250 0.500

=====

Model x:
The following is a DFT calculation (PBE) of a relaxed structure of TlMoAu2.

Theoretical density in g/cm³: 15.2

Cell: 2.979 4.684 5.440 Å, 90.00 90.00 90.00°
Space group Pmm2 (No. 25)
Unique sites:
Tl 0.000 0.000 0.000
Mo 0.000 0.500 0.322
Au 0.500 0.000 0.484
Au 0.500 0.500 0.788

=====

We find model w to be the most stable, with the next structure 28 meV/atom higher.

=====

Model w:
The following is a DFT calculation (PBE) of a relaxed structure of TlMoAu2.

Theoretical density in g/cm³: 15.3

Cell: 4.147 4.147 4.369 Å, 90.00 90.00 90.00°
Space group P4/mmm (No. 123)
Unique sites:
Tl 0.000 0.000 0.000
Mo 0.500 0.500 0.000
Au 0.000 0.500 0.500

=====

Model x:
The following is a DFT calculation (PBE) of a relaxed structure of TlMoAu2.

Theoretical density in g/cm³: 15.1

Cell: 3.0360 3.0360 28.7022 Å, 90.00 90.00 120.00°
Space group R3m (No. 160, hexagonal axes)
Unique sites:
Tl 0.0000 0.0000 0.0000
Mo 0.0000 0.0000 0.2476
Au 0.0000 0.0000 0.5053
Au 0.0000 0.0000 0.7567

=====

Model y:
The following is a DFT calculation (PBE) of a relaxed structure of TlMoAu2.

Theoretical density in g/cm³: 14.7

Cell: 3.0279 3.0279 29.5328 Å, 90.00 90.00 120.00°
Space group R-3m (No. 166, hexagonal axes)
Unique sites:
Tl 0.0000 0.0000 0.0000
Mo 0.0000 0.0000 0.5000
Au 0.0000 0.0000 0.2421

=====

We find model y to be the most stable, with the next structure 10 meV/atom higher.

=====

Model w:
The following is a DFT calculation (PBE) of a relaxed structure of TlMoAu2.

Theoretical density in g/cm³: 14.0

Cell: 3.991 3.991 20.666 Å, 90.00 90.00 90.00°
Space group I-42d (No. 122)
Unique sites:
Tl 0.000 0.000 0.000
Mo 0.000 0.000 0.500
Au 0.242 0.250 0.625

=====

Model x:
The following is a DFT calculation (PBE) of a relaxed structure of TlMoAu2.

Theoretical density in g/cm³: 15.0

Cell: 2.969 5.188 10.002 Å, 90.00 90.00 90.00°
Space group Imm2 (No. 44)
Unique sites:
Tl 0.000 0.000 0.000
Mo 0.000 0.500 0.753
Au 0.000 0.000 0.490
Au 0.000 0.500 0.242

=====

We find model x to be the most stable, with the next structure 214 meV/atom higher.

=====

Model w:
The following is a DFT calculation (PBE) of a relaxed structure of TlMoAu2.

Theoretical density in g/cm³: 15.2

Cell: 2.941 2.941 8.771 Å, 90.00 90.00 90.00°
Space group P4mm (No. 99)
Unique sites:
Tl 0.000 0.000 0.000
Mo 0.500 0.500 0.740
Au 0.000 0.000 0.523
Au 0.500 0.500 0.279

=====

Model x:
The following is a DFT calculation (PBE) of a relaxed structure of TlMoAu2.

Theoretical density in g/cm³: 15.1

Cell: 9.319 3.007 5.522 Å, 90.00 99.36 90.00°
Space group Cm (No. 8)
Unique sites:
Tl 0.000 0.000 0.000
Mo 0.250 0.500 0.274
Au 0.245 0.000 0.729
Au 0.493 0.000 0.481

=====

We find model w to be the most stable, with the next structure 64 meV/atom higher.

=====

Model w:
The following is a DFT calculation (PBE) of a relaxed structure of TlMo2Au.

Theoretical density in g/cm³: 13.3

Cell: 2.972 4.135 6.033 Å, 90.00 92.15 90.00°
Space group Pm (No. 6)
Unique sites:
Tl 0.000 0.000 0.000
Mo 0.101 0.000 0.519
Mo 0.427 0.500 0.714
Au 0.555 0.500 0.262

=====

Model x:
The following is a DFT calculation (PBE) of a relaxed structure of TlMo2Au.

Theoretical density in g/cm³: 12.5

Cell: 7.556 7.556 5.522 Å, 90.00 90.00 90.00°
Space group I-42d (No. 122)
Unique sites:
Tl 0.000 0.000 0.000
Mo 0.238 0.250 0.625
Au 0.000 0.000 0.500

=====

Model y:
The following is a DFT calculation (PBE) of a relaxed structure of TlMo2Au.

Theoretical density in g/cm³: 13.2

Cell: 3.319 3.319 6.795 Å, 90.00 90.00 90.00°
Space group P4mm (No. 99)
Unique sites:
Tl 0.000 0.000 0.000
Mo 0.000 0.000 0.534
Mo 0.500 0.500 0.708
Au 0.500 0.500 0.276

=====

We find model y to be the most stable, with the next structure 67 meV/atom higher.

=====

Model w:
The following is a DFT calculation (PBE) of a relaxed structure of TlMo2Au.

Theoretical density in g/cm³: 13.3

Cell: 3.366 4.796 9.167 Å, 90.00 90.00 90.00°
Space group Imm2 (No. 44)
Unique sites:
Tl 0.000 0.000 0.000
Mo 0.000 0.000 0.530
Mo 0.000 0.500 0.229
Au 0.000 0.500 0.762

=====

Model x:
The following is a DFT calculation (PBE) of a relaxed structure of TlMo2Au.

Theoretical density in g/cm³: 13.4

Cell: 2.958 4.340 5.721 Å, 90.00 90.15 90.00°
Space group P2/m (No. 10)
Unique sites:
Tl 0.000 0.000 0.000
Mo 0.498 0.500 0.711
Au 0.000 0.000 0.500

=====

We find model w to be the most stable, with the next structure 111 meV/atom higher.

=====

Model w:
The following is a DFT calculation (PBE) of a relaxed structure of TlMo2Au.

Theoretical density in g/cm³: 13.9

Cell: 4.127 4.127 8.321 Å, 90.00 90.00 90.00°
Space group I-4m2 (No. 119)
Unique sites:
Tl 0.000 0.000 0.000
Mo 0.000 0.000 0.500
Mo 0.000 0.500 0.250
Au 0.000 0.500 0.750

=====

Model x:
The following is a DFT calculation (PBE) of a relaxed structure of TlMo2Au.

Theoretical density in g/cm³: 13.7

Cell: 4.957 4.957 2.919 Å, 90.00 90.00 90.00°
Space group P4/mmm (No. 123)
Unique sites:
Tl 0.000 0.000 0.000
Mo 0.000 0.500 0.500
Au 0.500 0.500 0.000

=====

Model y:
The following is a DFT calculation (PBE) of a relaxed structure of TlMo2Au.

Theoretical density in g/cm³: 13.8

Cell: 5.560 8.932 2.875 Å, 90.00 90.00 90.00°
Space group Cmmm (No. 65)
Unique sites:
Tl 0.000 0.000 0.000
Mo 0.250 0.250 0.500
Au 0.000 0.500 0.000

=====

Model z:
The following is a DFT calculation (PBE) of a relaxed structure of TlMo2Au.

Theoretical density in g/cm³: 13.8

Cell: 2.867 2.867 8.715 Å, 90.00 90.00 90.00°
Space group P4/mmm (No. 123)
Unique sites:
Tl 0.000 0.000 0.000
Mo 0.500 0.500 0.263
Au 0.000 0.000 0.500

=====

We find model w to be the most stable, with the next structure 35 meV/atom higher.